Entry 1:
A plane-wave DFT calculation with PBE was carried out for a geometry-optimized Sn2IrPb structure.

Summary:
Calculated volume in Å³ per cell: 457.3
Final energy in eV per cell: -77.9
Fermi-level density of states in states/eV per atom: 0.82
Energy of formation from the pure elements in meV/atom: 275

Cell: 5.2094 5.2094 16.8504 Å, 90.00 90.00 90.00°
Closest atoms and distances in Å follow each position.
Space group I-42d (No. 122)
Inequivalent atoms, fractional coordinates:
Sn1 0.1614 0.2500 0.1250 x8  2 Ir 2.62
Ir1 0.0000 0.0000 0.0000 x4  4 Sn 2.62
Pb1 0.0000 0.0000 0.5000 x4  4 Sn 3.04


Entry 2:
A plane-wave DFT calculation with PBE was carried out for a geometry-optimized Th6BiSb3Te2 structure.

Summary:
Calculated volume in Å³ per cell: 778.6
E_form (uncorrected) in kJ per mole of atoms: -86
Final energy in eV per cell: -155.4
Fermi-level density of states in states/eV per atom: 0.85

Cell: 19.6285 4.5524 8.9407 Å, 90.00 102.95 90.00°
Closest atoms and distances in Å follow each position.
Space group C2/m (No. 12)
Inequivalent atoms, fractional coordinates:
Th1 0.0001 0.0000 0.2419 x4  3 Sb 3.14-3.15, 1 Te 3.20, 2 Bi 3.24
Th2 0.1658 0.5000 0.0850 x4  3 Sb 3.17, 3 Te 3.20-3.21
Th3 0.1702 0.5000 0.5815 x4  3 Sb 3.15-3.17, 2 Te 3.21, 1 Bi 3.26
Bi1 0.0000 0.5000 0.5000 x2  6 Th 3.24-3.26
Sb1 0.0000 0.5000 0.0000 x2  6 Th 3.14-3.17
Sb2 0.1649 0.0000 0.3322 x4  6 Th 3.15-3.17
Te1 0.1670 0.0000 0.8325 x4  6 Th 3.20-3.21


Entry 3:
A plane-wave DFT calculation with PBE was carried out for a geometry-optimized TiMo4Ir2 structure.

Summary:
Calculated volume in Å³ per cell: 257.2
Final energy in eV per cell: -120.9
Fermi-level density of states in states/eV per atom: 1.34
Energy of formation from the pure elements in meV/atom: 1211

Cell: 4.4663 4.4663 12.8957 Å, 90.00 90.00 90.00°
Closest atoms and distances in Å follow each position.
Space group I4/mmm (No. 139)
Inequivalent atoms, fractional coordinates:
Ti1 0.0000 0.0000 0.0000 x2  6 Mo 2.23-2.49
Mo1 0.0000 0.0000 0.1930 x4  1 Ir 2.40, 1 Ti 2.49
Mo2 0.0000 0.5000 0.0000 x4  2 Ti 2.23
Ir1 0.0000 0.0000 0.3789 x4  1 Mo 2.40


Entry 4:
A plane-wave DFT calculation with PBE was carried out for a geometry-optimized PRhCl2 structure.

Summary:
Energy above the most stable polymorph in this dataset in eV per atom: 1.120
Calculated volume in Å³ per cell: 141.0
E_form (uncorrected) in kJ per mole of atoms: 37
Final energy in eV per cell: -29.8
Fermi-level density of states in states/eV per atom: 0.99

Cell: 5.6350 6.3236 3.9557 Å, 90.00 90.00 90.00°
Closest atoms and distances in Å follow each position.
Space group Cmmm (No. 65)
Inequivalent atoms, fractional coordinates:
P1 0.0000 0.0000 0.0000 x2  4 Cl 2.61, 2 Rh 2.82
Rh1 0.0000 0.5000 0.0000 x2  4 Cl 2.46
Cl1 0.0000 0.2685 0.5000 x4  2 Rh 2.46, 2 P 2.61


Entry 5:
A plane-wave DFT calculation with PBE was carried out for a geometry-optimized CdTe2Rh structure.

Summary:
Calculated volume in Å³ per cell: 297.8
E_form (uncorrected) in kJ per mole of atoms: -26
Final energy in eV per cell: -46.9
Fermi-level density of states in states/eV per atom: 0.25

Cell: 4.0466 4.0466 20.9998 Å, 90.00 90.00 120.00°
Closest atoms and distances in Å follow each position.
Space group R-3m (No. 166, hexagonal axes)
Inequivalent atoms, fractional coordinates:
Cd1 0.0000 0.0000 0.0000 x3  6 Te 3.16
Te1 0.0000 0.0000 0.2320 x6  3 Rh 2.71
Rh1 0.0000 0.0000 0.5000 x3  6 Te 2.71


Entry 6:
A plane-wave DFT calculation with PBE was carried out for a geometry-optimized CsV3Cd structure.

Summary:
Energy above the most stable polymorph in this dataset in eV per atom: 0.639
Calculated volume in Å³ per cell: 108.2
Final energy in eV per cell: -17.2
Fermi-level density of states in states/eV per atom: 0.46
Energy of formation from the pure elements in meV/atom: 2379

Cell: 4.7647 4.7647 4.7647 Å, 90.00 90.00 90.00°
Closest atoms and distances in Å follow each position.
Space group Pm-3m (No. 221)
Inequivalent atoms, fractional coordinates:
Cs1 0.0000 0.0000 0.0000 x1  6 V 2.38
V1 0.0000 0.0000 0.5000 x3  2 Cs 2.38
Cd1 0.5000 0.5000 0.5000 x1  12 V 3.37


Entry 7:
A plane-wave DFT calculation with PBE was carried out for a geometry-optimized LiMn2Pb structure.

Summary:
Calculated volume in Å³ per cell: 137.9
Final energy in eV per cell: -45.3
Fermi-level density of states in states/eV per atom: 1.30
Energy of formation from the pure elements in meV/atom: 328

Cell: 4.1271 4.1271 8.0954 Å, 90.00 90.00 90.00°
Closest atoms and distances in Å follow each position.
Space group I-4m2 (No. 119)
Inequivalent atoms, fractional coordinates:
Li1 0.0000 0.0000 0.0000 x2  8 Mn 2.89-2.92, 4 Pb 2.89
Mn1 0.0000 0.0000 0.5000 x2  4 Mn 2.89, 4 Pb 2.89, 4 Li 2.92
Mn2 0.0000 0.5000 0.7500 x2  4 Mn 2.89, 4 Li 2.89, 4 Pb 2.92
Pb1 0.0000 0.5000 0.2500 x2  8 Mn 2.89-2.92, 4 Li 2.89


Entry 8:
A plane-wave DFT calculation with PBE was carried out for a geometry-optimized Be2PRh structure.

Summary:
Calculated volume in Å³ per cell: 138.3
Final energy in eV per cell: -61.0
Fermi-level density of states in states/eV per atom: 0.68
Energy of formation from the pure elements in meV/atom: -30

Cell: 2.7997 2.7997 20.3717 Å, 90.00 90.00 120.00°
Closest atoms and distances in Å follow each position.
Space group R-3m (No. 166, hexagonal axes)
Inequivalent atoms, fractional coordinates:
Be1 0.0000 0.0000 0.2503 x6  3 Rh 2.34, 3 P 2.35
P1 0.0000 0.0000 0.5000 x3  6 Be 2.35
Rh1 0.0000 0.0000 0.0000 x3  6 Be 2.34


Entry 9:
A plane-wave DFT calculation with PBE was carried out for a geometry-optimized SmErCd structure.

Summary:
Energy above the most stable polymorph in this dataset in eV per atom: 0.117
Calculated volume in Å³ per cell: 86.6
Final energy in eV per cell: -10.4
Fermi-level density of states in states/eV per atom: 1.29
Energy of formation from the pure elements in meV/atom: -75

Cell: 5.2639 5.2639 3.6080 Å, 90.00 90.00 120.00°
Closest atoms and distances in Å follow each position.
Space group P3m1 (No. 156)
Inequivalent atoms, fractional coordinates:
Sm1 0.0000 0.0000 0.0000 x1  3 Cd 3.28, 6 Er 3.44-3.64, 2 Sm 3.61
Er1 0.6667 0.3333 0.5543 x1  3 Cd 3.14, 3 Sm 3.44
Cd1 0.3333 0.6667 0.3389 x1  3 Er 3.14, 3 Sm 3.28


Entry 10:
A plane-wave DFT calculation with PBE was carried out for a geometry-optimized MgBAsBr2 structure.

Summary:
Energy above the most stable polymorph in this dataset in eV per atom: 0.000
Calculated volume in Å³ per cell: 103.3
E_form (uncorrected) in kJ per mole of atoms: 45
Final energy in eV per cell: -13.9
Fermi-level density of states in states/eV per atom: 0.70

Cell: 4.6864 4.6864 4.7024 Å, 90.00 90.00 90.00°
Closest atoms and distances in Å follow each position.
Space group P4/mmm (No. 123)
Inequivalent atoms, fractional coordinates:
Mg1 0.0000 0.0000 0.0000 x1  4 As 3.31, 8 Br 3.32
B1 0.5000 0.5000 0.5000 x1  4 Br 2.34, 2 As 2.35
As1 0.5000 0.5000 0.0000 x1  2 B 2.35
Br1 0.0000 0.5000 0.5000 x2  2 B 2.34


Entry 11:
A plane-wave DFT calculation with PBE was carried out for a geometry-optimized Pr3IrPtCl structure.

Summary:
Calculated volume in Å³ per cell: 322.1
E_form (uncorrected) in kJ per mole of atoms: -85
Final energy in eV per cell: -72.7
Fermi-level density of states in states/eV per atom: 0.74

Cell: 8.3075 4.2334 9.5279 Å, 90.00 106.00 90.00°
Closest atoms and distances in Å follow each position.
Space group P2_1/m (No. 11)
Inequivalent atoms, fractional coordinates:
Pr1 0.0624 0.2500 0.3532 x2  3 Ir 2.85-2.92, 2 Pt 3.08
Pr2 0.2189 0.2500 0.0023 x2  3 Cl 2.84-3.10, 1 Ir 3.16
Pr3 0.4091 0.7500 0.6206 x2  1 Cl 2.79, 2 Ir 2.92
Ir1 0.1848 0.2500 0.6636 x2  6 Pr 2.85-3.16
Pt1 0.2852 0.7500 0.2645 x2  7 Pr 3.08-3.26
Cl1 0.3934 0.7500 0.9097 x2  4 Pr 2.79-3.10, 2 Cl 2.98


Entry 12:
A plane-wave DFT calculation with PBE was carried out for a geometry-optimized Ba2SmPbO5 structure.

Summary:
Calculated volume in Å³ per cell: 671.0
E_form (uncorrected) in kJ per mole of atoms: -223
Final energy in eV per cell: -231.5
Fermi-level density of states in states/eV per atom: 0.15

Cell: 3.7170 15.4767 11.6639 Å, 90.00 90.00 90.00°
Closest atoms and distances in Å follow each position.
Space group Cmc2_1 (No. 36)
Inequivalent atoms, fractional coordinates:
Ba1 0.0000 0.1187 0.0000 x4  3 O 2.63-2.80
Ba2 0.0000 0.1357 0.5723 x4  6 O 2.76-2.87
Sm1 0.0000 0.2220 0.2965 x4  6 O 2.29-2.48
Pb1 0.0000 0.4857 0.7668 x4  4 O 2.19-2.27
O1 0.0000 0.0659 0.3446 x4  2 Pb 2.22, 1 Sm 2.48
O2 0.0000 0.2801 0.9299 x4  2 Sm 2.42, 1 Ba 2.63
O3 0.0000 0.2985 0.6686 x4  2 Sm 2.40
O4 0.0000 0.3699 0.3002 x4  1 Pb 2.27, 1 Sm 2.29
O5 0.0000 0.4978 0.0801 x4  1 Pb 2.19


Question: The lowest calculated volume belongs to which entry?
Answer: SmErCd


Question: What is the formula in the twelfth record?
Answer: Ba2SmPbO5


Question: What is the formula in the twelfth record?
Answer: Ba2SmPbO5


Question: Among the records above, which one has the highest calculated volume?
Answer: Th6BiSb3Te2